Compound: Li2CoIO
Source: the Alexandria database
Functional: PBE+U
Structure: optimized geometry

As for the energy: -19.0 eV per formula unit. Its magnetic moment is 2.00 μB/f.u. Its density of states at the Fermi level is 0.000 states/eV per cell.

The structure belongs to space group P4/mmm (No. 123); the cell edges are 5.178, 5.178 and 3.558 Å and the angles 90.00°, 90.00° and 90.00°. The distinct sites, in fractional coordinates, are Li at (0.000, 0.500, 0.000), Co at (0.000, 0.000, 0.000), I at (0.500, 0.500, 0.500) and O at (0.000, 0.000, 0.500).